Computed, not measured: a relaxed Be2SiMo crystal at the PBE level of DFT.

Lattice parameters (Å, degrees): 3.1395 3.1395 4.8691 90.00 90.00 90.00
Closest atoms and distances in Å follow each position.
Positions (direct):
Be: 0.0000 0.0000 0.0113  2 Be 2.32-2.54, 4 Mo 2.51, 4 Si 2.56
Be: 0.0000 0.0000 0.4887  2 Be 2.32-2.54, 4 Mo 2.51, 4 Si 2.56
Mo: 0.5000 0.5000 0.2500  2 Si 2.43, 8 Be 2.51
Si: 0.5000 0.5000 0.7500  2 Mo 2.43, 8 Be 2.56

Results
Magnetization (Bohr magnetons per cell): 0.00
Uncorrected formation energy (eV per atom): 0.08
Energy relative to the lowest polymorph listed for this composition (meV/atom): 431
Space group: P4/mmm
E_tot (eV per formula unit): -23.37

---

Computed, not measured: a relaxed Be4SiMo crystal at the PBE level of DFT.

Lattice parameters (Å, degrees): 4.3708 4.3708 4.3708 60.00 60.00 60.00
Closest atoms and distances in Å follow each position.
Positions (direct):
Be: 0.8658 0.3781 0.3781  6 Be 2.13-2.24
Be: 0.3781 0.3781 0.8658  6 Be 2.13-2.24
Be: 0.3781 0.8658 0.3781  6 Be 2.13-2.24
Be: 0.3781 0.3781 0.3781  6 Be 2.13-2.24
Si: 0.0000 0.0000 0.0000  12 Be 2.57, 4 Mo 2.68
Mo: 0.7500 0.7500 0.7500  12 Be 2.56, 4 Si 2.68

Results
Magnetization (Bohr magnetons per cell): 0.00
Uncorrected formation energy (eV per atom): -0.04
Space group: F-43m
E_tot (eV per formula unit): -31.37

---

Which formula does entry 2 have?
Be4SiMo

---

E_tot of number 2 (Be4SiMo)?
-31.37 eV per formula unit

---

magnetization of number 1 (Be2SiMo)?
0.00 Bohr magnetons per cell